1.
DFT (PBE) results for a geometry-optimized Tb2NdCdPd4 structure.

Summary:
symmetry	R-3m, No. 166
spin magnetization	0.00	μB/atom
formation enthalpy at 0 K	-17.31	kcal/mol of atoms

Cell and atoms, written as CIF:
```
data_Tb2NdCdPd4
_cell_length_a 4.937
_cell_length_b 4.937
_cell_length_c 8.555
_cell_angle_alpha 73.23
_cell_angle_beta 73.23
_cell_angle_gamma 60.00
_symmetry_space_group_name_H-M 'P 1'
_symmetry_Int_Tables_number 1
_symmetry_space_group_name_Hall 'P 1'
loop_
_atom_site_label
_atom_site_fract_x
_atom_site_fract_y
_atom_site_fract_z
Pd1 0.623 0.623 0.130
Pd2 0.122 0.122 0.634
Pd3 0.878 0.878 0.366
Pd4 0.377 0.377 0.870
Tb1 0.242 0.242 0.273
Tb2 0.758 0.758 0.727
Cd1 0.500 0.500 0.500
Nd1 0.000 0.000 0.000
```

---

2.
DFT (PBE) results for a geometry-optimized NdTlCdPd structure.

Summary:
symmetry	F-43m, No. 216
spin magnetization	0.00	μB/atom
formation enthalpy at 0 K	-9.53	kcal/mol of atoms

Cell and atoms, written as CIF:
```
data_NdTlCdPd
_cell_length_a 5.092
_cell_length_b 5.092
_cell_length_c 5.092
_cell_angle_alpha 60.00
_cell_angle_beta 60.00
_cell_angle_gamma 60.00
_symmetry_space_group_name_H-M 'P 1'
_symmetry_Int_Tables_number 1
_symmetry_space_group_name_Hall 'P 1'
loop_
_atom_site_label
_atom_site_fract_x
_atom_site_fract_y
_atom_site_fract_z
Nd1 0.250 0.250 0.250
Pd1 0.500 0.500 0.500
Cd1 0.750 0.750 0.750
Tl1 0.000 0.000 0.000
```

---

3.
DFT (PBE) results for a geometry-optimized NdYCdPd structure.

Summary:
symmetry	F-43m, No. 216
spin magnetization	0.00	μB/atom
formation enthalpy at 0 K	-11.71	kcal/mol of atoms

Cell and atoms, written as CIF:
```
data_NdYCdPd
_cell_length_a 5.216
_cell_length_b 5.216
_cell_length_c 5.216
_cell_angle_alpha 60.00
_cell_angle_beta 60.00
_cell_angle_gamma 60.00
_symmetry_space_group_name_H-M 'P 1'
_symmetry_Int_Tables_number 1
_symmetry_space_group_name_Hall 'P 1'
loop_
_atom_site_label
_atom_site_fract_x
_atom_site_fract_y
_atom_site_fract_z
Y1 0.250 0.250 0.250
Nd1 0.750 0.750 0.750
Cd1 0.000 0.000 0.000
Pd1 0.500 0.500 0.500
```